No. 1
## RbAcGe2I8 (PBE)

Data for a geometry-optimized RbAcGe2I8 structure.

Cell: 7.9270 7.5274 10.1430 Å, 83.15 83.14 84.68°
Last column: nearest neighbours and their distance in Å.
Sites, in units of the cell vectors:
Rb 0.0000 0.0000 0.5000  6 I 3.56-3.86
Ac 0.0000 0.0000 0.0000  6 I 3.26-3.31
Ge 0.4705 0.4543 0.7325  2 I 2.72-2.86
Ge 0.5295 0.5457 0.2675  2 I 2.72-2.86
I 0.1700 0.7284 0.2354  1 Ge 3.08, 1 Ac 3.28
I 0.6639 0.7608 0.0343  1 Ge 2.86
I 0.8302 0.2619 0.2230  1 Ge 3.08, 1 Ac 3.26
I 0.8300 0.2716 0.7646  1 Ge 3.08, 1 Ac 3.28
I 0.3361 0.2392 0.9657  1 Ge 2.86
I 0.1698 0.7381 0.7770  1 Ge 3.08, 1 Ac 3.26
I 0.6240 0.7266 0.4603  1 Ge 2.72
I 0.3760 0.2734 0.5397  1 Ge 2.72

No. 2
## Ac4GeRhI2 (PBE)

Data for a geometry-optimized Ac4GeRhI2 structure.

Cell: 4.4233 8.0927 8.7295 Å, 105.73 90.00 90.00°
Last column: nearest neighbours and their distance in Å.
Sites, in units of the cell vectors:
Ac 0.5000 0.2476 0.1912  1 Rh 2.97, 2 Ge 3.14
Ac 0.5000 0.7524 0.8088  1 Rh 2.97, 2 Ge 3.14
Ac 0.0000 0.2848 0.8132  2 Rh 3.01, 1 Ge 3.16
Ac 0.0000 0.7152 0.1868  2 Rh 3.01, 1 Ge 3.16
Ge 0.0000 0.0000 0.0000  6 Ac 3.14-3.16
Rh 0.5000 0.5000 0.0000  6 Ac 2.97-3.01
I 0.5000 0.0000 0.5000  6 Ac 3.77-3.78
I 0.0000 0.5000 0.5000  6 Ac 3.62-3.65

No. 3
## Ac8GeRh3I4 (PBE)

Data for a geometry-optimized Ac8GeRh3I4 structure.

Cell: 8.9510 9.9893 8.9532 Å, 116.65 119.99 90.00°
Last column: nearest neighbours and their distance in Å.
Sites, in units of the cell vectors:
Ac 0.2356 0.6850 0.9500  2 Rh 2.98-2.99, 1 Ge 3.12
Ac 0.2355 0.6849 0.4710  2 Rh 2.98, 1 Ge 3.12
Ac 0.2701 0.3108 0.5402  3 Rh 3.05
Ac 0.7143 0.6850 0.9500  2 Rh 2.98-2.99, 1 Ge 3.12
Ac 0.2857 0.3150 0.0500  2 Rh 2.98-2.99, 1 Ge 3.12
Ac 0.7299 0.6892 0.4598  3 Rh 3.05
Ac 0.7645 0.3151 0.5290  2 Rh 2.98, 1 Ge 3.12
Ac 0.7644 0.3150 0.0500  2 Rh 2.98-2.99, 1 Ge 3.12
Ge 0.0000 0.5000 0.0000  6 Ac 3.12
Rh 0.5000 0.5000 0.0000  6 Ac 2.98-3.05
Rh 0.5000 0.5000 0.5000  6 Ac 2.98-3.05
Rh 0.0000 0.5000 0.5000  6 Ac 2.98-3.05
I 0.5000 0.0000 0.0000  6 Ac 3.66
I 0.5000 0.0000 0.5000  6 Ac 3.71-3.77
I 0.0000 0.0000 0.0000  6 Ac 3.70-3.77
I 0.0000 0.0000 0.5000  6 Ac 3.71-3.77

No. 4
## Ac8GeRh3I3 (PBE)

Data for a geometry-optimized Ac8GeRh3I3 structure.

Cell: 8.9489 8.9553 9.7830 Å, 117.28 89.98 119.99°
Last column: nearest neighbours and their distance in Å.
Sites, in units of the cell vectors:
Ac 0.2689 0.5378 0.3075  3 Rh 3.04
Ac 0.7311 0.4622 0.6925  3 Rh 3.04
Ac 0.7608 0.5218 0.3075  2 Rh 2.99, 1 Ge 3.15
Ac 0.2392 0.4782 0.6925  2 Rh 2.99, 1 Ge 3.15
Ac 0.7609 0.0467 0.3079  2 Rh 2.98-2.99, 1 Ge 3.15
Ac 0.2391 0.9533 0.6921  2 Rh 2.98-2.99, 1 Ge 3.15
Ac 0.2858 0.0466 0.3078  2 Rh 2.98-2.99, 1 Ge 3.15
Ac 0.7142 0.9534 0.6922  2 Rh 2.98-2.99, 1 Ge 3.15
Ge 0.0000 0.0000 0.5000  6 Ac 3.15
Rh 0.5000 0.0000 0.5000  6 Ac 2.98-3.04
Rh 0.5000 0.5000 0.5000  6 Ac 2.99-3.04
Rh 0.0000 0.5000 0.5000  6 Ac 2.99-3.04
I 0.0000 0.0000 0.0000  6 Ac 3.63-3.68
I 0.0000 0.5000 0.0000  6 Ac 3.63-3.68
I 0.5000 0.5000 0.0000  6 Ac 3.63-3.68

No. 5
## Ac4GeRuI2 (PBE)

Data for a geometry-optimized Ac4GeRuI2 structure.

Cell: 4.4452 7.9800 8.7930 Å, 106.13 90.00 90.00°
Last column: nearest neighbours and their distance in Å.
Sites, in units of the cell vectors:
Ac 0.5000 0.2550 0.1865  1 Ru 2.88, 2 Ge 3.15
Ac 0.5000 0.7450 0.8135  1 Ru 2.88, 2 Ge 3.15
Ac 0.0000 0.2829 0.8114  2 Ru 3.02, 1 Ge 3.15
Ac 0.0000 0.7171 0.1886  2 Ru 3.02, 1 Ge 3.15
Ge 0.0000 0.0000 0.0000  6 Ac 3.15
Ru 0.5000 0.5000 0.0000  6 Ac 2.88-3.02
I 0.5000 0.0000 0.5000  6 Ac 3.76-3.85
I 0.0000 0.5000 0.5000  6 Ac 3.62-3.66

No. 6
## Ac8Ge3RuI4 (PBE)

Data for a geometry-optimized Ac8Ge3RuI4 structure.

Cell: 9.1851 9.7795 9.1844 Å, 118.01 120.00 90.00°
Last column: nearest neighbours and their distance in Å.
Sites, in units of the cell vectors:
Ac 0.2223 0.6927 0.9704  1 Ru 2.97, 2 Ge 3.15
Ac 0.2223 0.6927 0.4446  1 Ru 2.97, 2 Ge 3.15
Ac 0.2651 0.2954 0.5303  3 Ge 3.14
Ac 0.7480 0.6927 0.9704  1 Ru 2.97, 2 Ge 3.15
Ac 0.2520 0.3073 0.0296  1 Ru 2.97, 2 Ge 3.15
Ac 0.7349 0.7046 0.4697  3 Ge 3.14
Ac 0.7777 0.3073 0.5554  1 Ru 2.97, 2 Ge 3.15
Ac 0.7777 0.3073 0.0296  1 Ru 2.97, 2 Ge 3.15
Ge 0.5000 0.5000 0.0000  6 Ac 3.14-3.15
Ge 0.5000 0.5000 0.5000  6 Ac 3.14-3.15
Ge 0.0000 0.5000 0.5000  6 Ac 3.14-3.15
Ru 0.0000 0.5000 0.0000  6 Ac 2.97
I 0.5000 0.0000 0.0000  6 Ac 3.76
I 0.5000 0.0000 0.5000  6 Ac 3.59-3.61
I 0.0000 0.0000 0.0000  6 Ac 3.59-3.61
I 0.0000 0.0000 0.5000  6 Ac 3.59-3.61

No. 7
## Ac6Ge2SI3 (PBE)

Data for a geometry-optimized Ac6Ge2SI3 structure.

Cell: 7.8225 7.8225 8.5980 Å, 98.74 98.74 120.05°
Last column: nearest neighbours and their distance in Å.
Sites, in units of the cell vectors:
Ac 0.9344 0.6057 0.8017  1 S 3.04, 2 Ge 3.09
Ac 0.7391 0.7391 0.1994  1 S 3.04, 2 Ge 3.09
Ac 0.0656 0.3943 0.1983  1 S 3.04, 2 Ge 3.09
Ac 0.6057 0.9344 0.8017  1 S 3.04, 2 Ge 3.09
Ac 0.2609 0.2609 0.8006  1 S 3.04, 2 Ge 3.09
Ac 0.3943 0.0656 0.1983  1 S 3.04, 2 Ge 3.09
Ge 0.3340 0.6660 0.0000  6 Ac 3.09
Ge 0.6660 0.3340 0.0000  6 Ac 3.09
S 0.0000 0.0000 0.0000  6 Ac 3.04
I 0.1708 0.8292 0.5000  6 Ac 3.58-3.60
I 0.8292 0.1708 0.5000  6 Ac 3.58-3.60
I 0.5000 0.5000 0.5000  6 Ac 3.58-3.62

No. 8
## Ac6Ge2S3I (PBE)

Data for a geometry-optimized Ac6Ge2S3I structure.

Cell: 4.4910 9.0351 9.9822 Å, 101.57 103.00 90.00°
Last column: nearest neighbours and their distance in Å.
Sites, in units of the cell vectors:
Ac 0.3218 0.9053 0.6436  3 S 3.03-3.21, 2 Ge 3.13
Ac 0.6674 0.5818 0.3348  3 S 3.19-3.23, 3 Ge 3.20
Ac 0.6782 0.0947 0.3564  3 S 3.03-3.21, 2 Ge 3.13
Ac 0.0015 0.2818 0.0030  3 S 2.99-3.15, 1 Ge 3.11
Ac 0.9985 0.7182 0.9970  3 S 2.99-3.15, 1 Ge 3.11
Ac 0.3326 0.4182 0.6652  3 S 3.19-3.23, 3 Ge 3.20
Ge 0.8355 0.6717 0.6710  6 Ac 3.11-3.20
Ge 0.1645 0.3283 0.3290  6 Ac 3.11-3.20
S 0.5000 0.5000 0.0000  6 Ac 2.99-3.19
S 0.8374 0.1634 0.6748  6 Ac 3.03-3.23
S 0.1626 0.8366 0.3252  6 Ac 3.03-3.23
I 0.5000 0.0000 0.0000  6 Ac 3.39-3.40

Energy relative to the elements, uncorrected in eV per atom, matching the order above: -0.862; -0.965; -0.976; -0.847; -0.855; -0.918; -1.172; -1.436
E_tot in eV per atom, matching the order above: -3.087; -4.903; -5.085; -5.127; -5.034; -4.806; -4.728; -5.420